The following is a GGA-PBEsol calculation of Pr2Re2Si2C after structural relaxation, from Alexandria.

The calculation puts the raw formation energy at -55 kJ/mol of atoms. The total energy comes out at -8.8846 eV per atom.

a b c (Å): 4.039 5.900 6.098
angles (deg): 73.28 70.66 69.99
Element x y z (fractional)
Re (0.205, 0.677, 0.914)
Re (0.795, 0.323, 0.086)
Si (0.147, 0.402, 0.304)
Si (0.853, 0.598, 0.696)
Pr (0.427, 0.842, 0.304)
Pr (0.573, 0.158, 0.696)
C (0.000, 0.000, 0.000)